1.
{"formula": "ReOs2W", "functional": "SCAN", "state": "PBEsol geometry", "cell": [[-0.801, -0.586, 2.558], [4.405, -1.386, 1.062], [-0.450, 4.627, 0.919]], "species": ["Os", "Os", "Re", "W"], "fractional_positions": [[0.000, 0.500, 0.000], [0.000, 0.000, 0.500], [0.500, 0.000, 0.000], [0.500, 0.500, 0.500]], "relative_energy_ev_per_atom": 0.015, "spacegroup": "Cmmm (65)", "energy_ev_per_atom": -71.10, "e_form_ev_per_atom": 0.03}

=====

2.
{"formula": "Na3MgP2HO8", "functional": "SCAN", "state": "PBEsol geometry", "cell": [[5.168, 0.015, -0.005], [-2.409, 4.629, 0.008], [-0.215, -0.159, 6.827]], "species": ["Na", "Na", "Na", "Mg", "P", "P", "H", "O", "O", "O", "O", "O", "O", "O", "O"], "fractional_positions": [[0.662, 0.298, 0.787], [0.338, 0.702, 0.213], [0.000, 0.000, 0.500], [0.000, 0.000, 0.000], [0.662, 0.354, 0.243], [0.338, 0.646, 0.757], [0.000, 0.500, 0.500], [0.786, 0.216, 0.099], [0.214, 0.784, 0.901], [0.789, 0.682, 0.211], [0.211, 0.318, 0.789], [0.758, 0.312, 0.457], [0.242, 0.688, 0.543], [0.674, 0.794, 0.773], [0.326, 0.206, 0.227]], "spacegroup": "P-1 (2)", "energy_ev_per_atom": -8.60}

=====

3.
{"formula": "Zr3In", "functional": "SCAN", "state": "PBEsol geometry", "cell": [[3.164, 0.000, 0.000], [-1.582, 5.193, -0.030], [0.000, -0.995, 5.299]], "species": ["In", "Zr", "Zr", "Zr"], "fractional_positions": [[0.000, 0.000, 0.000], [0.500, 0.000, 0.500], [0.256, 0.511, 0.757], [0.744, 0.489, 0.243]], "spacegroup": "C2/m (12)", "energy_ev_per_atom": -31.57, "e_form_ev_per_atom": -0.20}

=====

4.
{"formula": "KInMo6Se6", "functional": "SCAN", "state": "PBEsol geometry", "cell": [[4.465, 0.000, 0.000], [0.000, 8.881, 0.000], [0.000, -4.441, 7.691]], "species": ["K", "In", "Mo", "Mo", "Mo", "Mo", "Mo", "Mo", "Se", "Se", "Se", "Se", "Se", "Se"], "fractional_positions": [[0.500, 0.000, 0.000], [0.000, 0.333, 0.667], [0.500, 0.481, 0.301], [0.500, 0.820, 0.519], [0.500, 0.699, 0.180], [0.000, 0.852, 0.365], [0.000, 0.513, 0.148], [0.000, 0.635, 0.487], [0.500, 0.367, 0.966], [0.500, 0.598, 0.633], [0.500, 0.034, 0.402], [0.000, 0.970, 0.698], [0.000, 0.728, 0.030], [0.000, 0.302, 0.272]], "e_form_raw_mev_per_atom": -639, "spacegroup": "P-6 (174)", "energy_ev_per_atom": -27.17}

=====

5.
{"formula": "LiOs2Se", "functional": "SCAN", "state": "PBEsol geometry", "cell": [[2.873, 0.000, 0.000], [0.000, 3.879, 0.000], [0.000, 0.000, 5.101]], "species": ["Li", "Os", "Os", "Se"], "fractional_positions": [[0.500, 0.500, 0.500], [0.000, 0.000, 0.735], [0.000, 0.000, 0.265], [0.500, 0.500, 0.000]], "e_form_raw_mev_per_atom": 730, "spacegroup": "Pmmm (47)", "energy_ev_per_atom": -40.83}

=====

6.
{"formula": "NaFeCuPd2", "functional": "SCAN", "state": "PBEsol geometry", "cell": [[-3.086, -2.455, -2.212], [-0.311, -2.798, 3.539], [-3.488, 2.722, 1.845]], "species": ["Na", "Cu", "Pd", "Pd", "Fe"], "fractional_positions": [[0.000, 0.000, 0.500], [0.500, 0.500, 0.500], [0.000, 0.500, 0.000], [0.500, 0.000, 0.000], [0.000, 0.000, 0.000]], "spacegroup": "P4/mmm (123)", "energy_ev_per_atom": -19.68, "e_form_ev_per_atom": 0.94}

=====

7.
{"formula": "Lu2SO2", "functional": "SCAN", "state": "PBEsol geometry", "cell": [[3.654, 0.000, 0.000], [-1.827, 3.165, 0.000], [0.000, 0.000, 6.394]], "species": ["S", "Lu", "Lu", "O", "O"], "fractional_positions": [[0.000, 0.000, 0.000], [0.333, 0.667, 0.284], [0.667, 0.333, 0.716], [0.333, 0.667, 0.630], [0.667, 0.333, 0.370]], "e_form_raw_mev_per_atom": -3603, "spacegroup": "P-3m1 (164)", "energy_ev_per_atom": -30.16}

=====

8.
{"formula": "Lu2Co3Si5", "functional": "SCAN", "state": "PBEsol geometry", "cell": [[-3.874, 3.519, 1.166], [-3.344, -1.830, 6.743], [2.567, 5.212, 5.123]], "species": ["Lu", "Lu", "Lu", "Lu", "Co", "Co", "Co", "Co", "Co", "Co", "Si", "Si", "Si", "Si", "Si", "Si", "Si", "Si", "Si", "Si"], "fractional_positions": [[0.637, 0.131, 0.594], [0.363, 0.869, 0.406], [0.137, 0.594, 0.131], [0.863, 0.406, 0.869], [0.750, 0.000, 0.000], [0.250, 0.000, 0.000], [0.860, 0.745, 0.535], [0.140, 0.255, 0.465], [0.360, 0.535, 0.745], [0.640, 0.465, 0.255], [0.750, 0.500, 0.500], [0.250, 0.500, 0.500], [0.971, 0.779, 0.779], [0.529, 0.221, 0.221], [0.029, 0.221, 0.221], [0.471, 0.779, 0.779], [0.903, 0.933, 0.262], [0.097, 0.067, 0.738], [0.403, 0.262, 0.933], [0.597, 0.738, 0.067]], "e_form_raw_mev_per_atom": -715, "spacegroup": "Ibam (72)", "energy_ev_per_atom": -21.98}

=====

9.
{"formula": "ZrCo2Tc", "functional": "SCAN", "state": "PBEsol geometry", "cell": [[3.643, 0.000, 0.000], [0.000, 3.828, 0.000], [0.000, 0.000, 3.828]], "species": ["Co", "Co", "Tc", "Zr"], "fractional_positions": [[0.000, 0.000, 0.500], [0.000, 0.500, 0.000], [0.500, 0.500, 0.500], [0.500, 0.000, 0.000]], "spacegroup": "P4/mmm (123)", "energy_ev_per_atom": -25.02, "e_form_ev_per_atom": 0.07}

=====

10.
{"formula": "Zn2SiSnH", "functional": "SCAN", "state": "PBEsol geometry", "cell": [[3.993, 0.000, 0.000], [0.000, 3.993, 0.000], [0.000, 0.000, 4.761]], "species": ["H", "Zn", "Zn", "Si", "Sn"], "fractional_positions": [[0.000, 0.000, 0.000], [0.000, 0.500, 0.000], [0.500, 0.000, 0.000], [0.500, 0.500, 0.500], [0.000, 0.000, 0.500]], "spacegroup": "P4/mmm (123)", "energy_ev_per_atom": -14.69}

=====

11.
{"formula": "CoMoSe2", "functional": "SCAN", "state": "PBEsol geometry", "cell": [[-0.669, 0.815, -2.861], [-1.655, -3.657, -0.654], [-3.432, 3.324, 1.749]], "species": ["Co", "Mo", "Se", "Se"], "fractional_positions": [[0.500, 0.500, 0.000], [0.000, 0.000, 0.500], [0.000, 0.000, 0.000], [0.500, 0.500, 0.500]], "e_form_raw_mev_per_atom": 269, "relative_energy_ev_per_atom": 0.000, "spacegroup": "P2/m (10)", "energy_ev_per_atom": -22.82}

=====

12.
{"formula": "CdSiH2", "functional": "SCAN", "state": "PBEsol geometry", "cell": [[3.975, 0.000, 0.000], [1.987, 3.442, 0.000], [1.987, 1.147, 3.245]], "species": ["H", "H", "Si", "Cd"], "fractional_positions": [[0.250, 0.250, 0.250], [0.750, 0.750, 0.750], [0.000, 0.000, 0.000], [0.500, 0.500, 0.500]], "spacegroup": "Fm-3m (225)", "energy_ev_per_atom": -10.86}

=====

Number 1: calculated volume 14.54 Å³ per atom. Number 2: calculated volume 10.91 Å³ per atom. Number 3: calculated volume 21.75 Å³ per atom. Number 4: calculated volume 21.79 Å³ per atom. Number 5: calculated volume 14.21 Å³ per atom. Number 6: calculated volume 19.60 Å³ per atom. Number 7: calculated volume 14.79 Å³ per atom. Number 8: calculated volume 13.94 Å³ per atom. Number 9: calculated volume 13.35 Å³ per atom. Number 10: calculated volume 15.18 Å³ per atom. Number 11: calculated volume 14.67 Å³ per atom. Number 12: calculated volume 11.10 Å³ per atom.